This record from the Alexandria database describes crystalline AcSb2Se at its relaxed geometry. The functional is GGA-PBE.

a = 4.3618 Å, b = 4.3618 Å, c = 6.3338 Å
α = 90.00°, β = 90.00°, γ = 90.00°
Closest atoms and distances in Å follow each position.
Atoms (fractional coordinates):
Ac 0.0000 0.0000 0.0000  4 Se 3.08
Sb 0.0000 0.5000 0.5000  4 Sb 3.08
Sb 0.5000 0.0000 0.5000  4 Sb 3.08
Se 0.5000 0.5000 0.0000  4 Ac 3.08

Output
Total magnetic moment (μB/f.u.): 0.00
Total energy (eV/atom): -4.81
Uncorrected formation energy (eV/atom): -0.846
ΔE to the lowest computed polymorph (eV per formula unit): 0.000
Space-group type: P4/mmm, No. 123